The following is a GGA-PBE calculation of crystalline YMo2W at its relaxed geometry, from Alexandria via LeMat-Bulk.

Geometry as POSCAR:
```
YMo2W
1.0
2.857 -0.002 0.000
-0.991 2.679 0.000
0.000 0.000 9.471
Y W Mo
1 1 2
Direct
0.500 0.500 0.751 Y
0.000 0.000 0.474 W
0.500 0.500 0.249 Mo
0.000 0.000 0.026 Mo
```

M_tot = 0.00 μB per formula unit
V = 18.121 Å³ per atom
relative energy among the computed polymorphs = 86 meV/atom
formation enthalpy at 0 K = 0.35 eV/atom

=====

The following is a GGA-PBE calculation of crystalline PW2Se at its relaxed geometry, from Alexandria via LeMat-Bulk.

Geometry as POSCAR:
```
PW2Se
1.0
-1.761 7.369 -2.378
-4.370 6.548 -1.042
-2.077 7.638 0.638
Se P W
1 1 2
Direct
0.000 0.000 0.000 Se
0.500 0.500 0.500 P
0.245 0.245 0.245 W
0.755 0.755 0.755 W
```

M_tot = 0.00 μB per formula unit
formation energy without anion corrections = 0.28 eV per atom
V = 15.537 Å³ per atom
relative energy among the computed polymorphs = 252 meV/atom

=====

The following is a GGA-PBE calculation of crystalline Ba4P at its relaxed geometry, from Alexandria via LeMat-Bulk.

Geometry as POSCAR:
```
Ba4P
1.0
3.119 -0.041 5.996
-6.664 -0.658 0.922
2.273 -5.138 -3.758
Ba P
4 1
Direct
0.000 0.500 0.000 Ba
0.500 0.500 0.500 Ba
0.000 0.000 0.500 Ba
0.500 0.000 0.000 Ba
0.000 0.000 0.000 P
```

M_tot = 0.00 μB per formula unit
V = 47.543 Å³ per atom
relative energy among the computed polymorphs = 107 meV/atom
formation enthalpy at 0 K = -0.33 eV/atom

=====

The following is a GGA-PBE calculation of crystalline Hf2Ga3Cu2 at its relaxed geometry, from Alexandria via LeMat-Bulk.

Geometry as POSCAR:
```
Hf2Ga3Cu2
1.0
-3.458 0.587 -2.074
-3.140 -3.770 4.168
-0.059 6.673 5.991
Ga Hf Cu
6 4 4
Direct
0.434 0.945 0.867 Ga
0.566 0.055 0.133 Ga
0.210 0.750 0.420 Ga
0.434 0.555 0.867 Ga
0.790 0.250 0.580 Ga
0.566 0.445 0.133 Ga
0.040 0.750 0.079 Hf
0.156 0.250 0.312 Hf
0.960 0.250 0.921 Hf
0.844 0.750 0.688 Hf
0.699 0.953 0.398 Cu
0.301 0.453 0.602 Cu
0.301 0.047 0.602 Cu
0.699 0.547 0.398 Cu
```

M_tot = 0.00 μB per formula unit
V = 16.363 Å³ per atom
relative energy among the computed polymorphs = 0 meV/atom
formation enthalpy at 0 K = -0.36 eV/atom

=====

The following is a GGA-PBE calculation of crystalline Zn2MoHW at its relaxed geometry, from Alexandria via LeMat-Bulk.

Geometry as POSCAR:
```
Zn2MoHW
1.0
4.897 0.000 0.000
0.000 3.138 0.000
0.000 0.000 4.897
Mo W H Zn
1 1 1 2
Direct
0.500 0.500 0.500 Mo
0.000 0.000 0.000 W
0.000 0.500 0.000 H
0.000 0.000 0.500 Zn
0.500 0.000 0.000 Zn
```

M_tot = 0.00 μB per formula unit
V = 15.055 Å³ per atom

=====

The following is a GGA-PBE calculation of crystalline Dy3URu3 at its relaxed geometry, from Alexandria via LeMat-Bulk.

Geometry as POSCAR:
```
Dy3URu3
1.0
-2.279 2.076 -2.356
1.164 -1.886 -5.982
-10.860 -8.218 0.068
Ru Dy U
6 6 2
Direct
0.893 0.146 0.068 Ru
0.128 0.280 0.464 Ru
0.939 0.878 0.243 Ru
0.061 0.122 0.757 Ru
0.872 0.720 0.536 Ru
0.107 0.854 0.932 Ru
0.607 0.715 0.071 Dy
0.393 0.285 0.929 Dy
0.514 0.607 0.365 Dy
0.734 0.731 0.801 Dy
0.266 0.269 0.199 Dy
0.486 0.393 0.635 Dy
0.777 0.054 0.392 U
0.223 0.946 0.608 U
```

M_tot = 0.00 μB per formula unit
V = 22.703 Å³ per atom
formation enthalpy at 0 K = -0.32 eV/atom

=====

The following is a GGA-PBE calculation of crystalline YEr14Mg at its relaxed geometry, from Alexandria via LeMat-Bulk.

Geometry as POSCAR:
```
YEr14Mg
1.0
6.916 0.984 0.000
-0.984 6.916 0.000
0.000 0.000 9.902
Er Mg Y
14 1 1
Direct
0.874 0.624 0.249 Er
0.125 0.375 0.500 Er
0.376 0.126 0.751 Er
0.874 0.126 0.250 Er
0.625 0.875 0.500 Er
0.376 0.624 0.249 Er
0.376 0.624 0.751 Er
0.874 0.126 0.750 Er
0.625 0.875 0.000 Er
0.625 0.375 0.000 Er
0.125 0.375 0.000 Er
0.125 0.875 0.000 Er
0.874 0.624 0.751 Er
0.376 0.126 0.249 Er
0.125 0.875 0.500 Mg
0.625 0.375 0.500 Y
```

M_tot = 0.00 μB per formula unit
V = 30.201 Å³ per atom
formation enthalpy at 0 K = 0.03 eV/atom

=====

The following is a GGA-PBE calculation of crystalline Ba3ErSb2O9 at its relaxed geometry, from Alexandria via LeMat-Bulk.

Geometry as POSCAR:
```
Ba3ErSb2O9
1.0
-0.283 4.598 3.887
2.987 -5.021 1.483
6.167 2.817 -2.885
Ba O Sb Er
3 9 2 1
Direct
0.000 0.000 0.000 Ba
0.333 0.667 0.671 Ba
0.667 0.333 0.329 Ba
0.000 0.500 0.000 O
0.347 0.174 0.674 O
0.653 0.826 0.326 O
0.174 0.347 0.326 O
0.174 0.826 0.326 O
0.500 0.500 0.000 O
0.500 0.000 0.000 O
0.826 0.653 0.674 O
0.826 0.174 0.674 O
0.667 0.333 0.831 Sb
0.333 0.667 0.169 Sb
0.000 0.000 0.500 Er
```

M_tot = 0.00 μB per formula unit
formation energy without anion corrections = -2.44 eV per atom
V = 15.456 Å³ per atom

=====

Uncorrected energy values, unit eV/cell, following the record order: -39.7 -33.7 -14.7 -79.4 -24.1 -110.3 -71.5 -99.7.